Record 1
DyMgPO | PBE | relaxed

Cell: 3.735 6.106 6.509 Å, 90.00 90.00 90.00°
Space group Pmc2_1 (No. 26)
Symmetry-distinct sites (fractional):
Dy: 0.000 0.042 0.000 x2
Mg: 0.500 0.381 0.341 x2
P: 0.500 0.221 0.726 x2
O: 0.000 0.255 0.276 x2

Record 2
Nb4BiAuN2 | PBE | relaxed

Cell: 3.3163 3.3163 13.4019 Å, 90.00 90.00 120.00°
Space group P-6m2 (No. 187)
Symmetry-distinct sites (fractional):
Nb: 0.0000 0.0000 0.1635 x2
Nb: 0.6667 0.3333 0.3232 x2
Bi: 0.0000 0.0000 0.5000 x1
Au: 0.6667 0.3333 0.0000 x1
N: 0.3333 0.6667 0.2429 x2

Computed total energy, in the same sequence as the records: -0.4430 -0.6225 Ry/atom.